1.
VASP calculation (PBE-GGA) on a relaxed structure of Pr3Dy.

The energy relative to the lowest polymorph listed for this composition is 17.4 meV per atom. For the formation energy, the calculation gives 32 meV per atom. Its total energy is -4.7033 eV/atom.

```
Pr3Dy
1.0
8.743 0.000 0.000
0.000 3.699 0.000
-0.630 0.000 8.728
Pr Dy
6 2
Direct
0.084 0.250 0.163
0.170 0.250 0.587
0.416 0.750 0.331
0.584 0.250 0.669
0.830 0.750 0.413
0.916 0.750 0.837
0.337 0.750 0.920
0.663 0.250 0.080
```

2.
VASP calculation (PBE-GGA) on a relaxed structure of Hg2GeW.

For the formation energy, the calculation gives 940 meV per atom. Its total energy is -3.6038 eV/atom.

```
Hg2GeW
1.0
-3.921 3.921 2.696
3.921 -3.921 2.696
3.921 3.921 -2.696
Hg Ge W
4 2 2
Direct
0.119 0.125 0.494
0.375 0.881 0.006
0.631 0.625 0.506
0.875 0.369 0.994
0.250 0.750 0.500
0.500 0.500 0.000
0.000 0.000 0.000
0.750 0.250 0.500
```

3.
VASP calculation (PBE-GGA) on a relaxed structure of Y2HPt6.

Its total energy is -6.7151 eV/atom.

```
Y2HPt6
1.0
0.000 4.153 4.153
4.153 0.000 4.153
4.153 4.153 0.000
Y H Pt
2 1 6
Direct
0.250 0.250 0.250
0.750 0.750 0.750
0.000 0.000 0.000
0.252 0.252 0.748
0.252 0.748 0.252
0.252 0.748 0.748
0.748 0.252 0.252
0.748 0.252 0.748
0.748 0.748 0.252
```

4.
VASP calculation (PBE-GGA) on a relaxed structure of ZnAs2W.

For the formation energy, the calculation gives 288 meV per atom. Its total energy is -5.5931 eV/atom.

```
ZnAs2W
1.0
4.389 -1.551 0.000
4.389 1.551 0.000
-0.621 0.000 5.012
Zn As W
1 2 1
Direct
0.000 0.000 0.000
0.222 0.222 0.717
0.778 0.778 0.283
0.500 0.500 0.500
```

5.
VASP calculation (PBE-GGA) on a relaxed structure of Hf3NbNi2C.

For the formation energy, the calculation gives -296 meV per atom. Its total energy is -8.9697 eV/atom.

```
Hf3NbNi2C
1.0
-2.133 2.191 6.319
2.133 -2.191 6.319
2.133 2.191 -6.319
Hf Nb Ni C
3 1 2 1
Direct
0.000 0.000 0.000
0.317 0.817 0.500
0.683 0.183 0.500
0.500 0.500 0.000
0.125 0.625 0.500
0.875 0.375 0.500
0.500 0.000 0.500
```

6.
VASP calculation (PBE-GGA) on a relaxed structure of LiCo.

For the formation energy, the calculation gives 1667 meV per atom. Its total energy is -2.8426 eV/atom.

```
LiCo
1.0
7.101 0.000 0.000
0.000 7.101 0.000
0.000 0.000 7.101
Li Co
6 6
Direct
0.000 0.250 0.500
0.000 0.750 0.500
0.250 0.500 0.000
0.500 0.000 0.250
0.500 0.000 0.750
0.750 0.500 0.000
0.000 0.500 0.250
0.000 0.500 0.750
0.250 0.000 0.500
0.500 0.250 0.000
0.500 0.750 0.000
0.750 0.000 0.500
```

7.
VASP calculation (PBE-GGA) on a relaxed structure of SmDy5Bi4.

For the formation energy, the calculation gives -564 meV per atom. Its total energy is -4.8893 eV/atom.

```
SmDy5Bi4
1.0
9.957 -2.212 0.000
9.957 2.212 0.000
-1.573 0.000 7.616
Sm Dy Bi
1 5 4
Direct
0.000 0.000 0.000
0.000 0.000 0.500
0.305 0.305 0.388
0.312 0.312 0.914
0.688 0.688 0.086
0.695 0.695 0.612
0.136 0.136 0.327
0.437 0.437 0.224
0.563 0.563 0.776
0.864 0.864 0.673
```

8.
VASP calculation (PBE-GGA) on a relaxed structure of IrW2Au.

The energy relative to the lowest polymorph listed for this composition is 0.0 meV per atom. For the formation energy, the calculation gives 101 meV per atom. Its total energy is -9.4097 eV/atom.

```
IrW2Au
1.0
2.782 0.000 0.000
0.000 4.118 0.000
0.000 0.000 5.546
Ir W Au
1 2 1
Direct
0.000 0.000 0.000
0.500 0.500 0.236
0.500 0.500 0.764
0.000 0.000 0.500
```

9.
VASP calculation (PBE-GGA) on a relaxed structure of LiYSe2.

The calculation puts the raw formation energy at -508 meV per atom. Its total energy is -4.3444 eV/atom.

```
LiYSe2
1.0
2.083 1.202 7.774
-2.083 1.202 7.774
0.000 -2.405 7.774
Li Y Se
1 1 2
Direct
0.000 0.000 0.000
0.500 0.500 0.500
0.388 0.388 0.388
0.612 0.612 0.612
```

10.
VASP calculation (PBE-GGA) on a relaxed structure of La3Pm2Dy5.

For the formation energy, the calculation gives 174 meV per atom. Its total energy is -4.5555 eV/atom.

```
La3Pm2Dy5
1.0
5.373 -8.448 0.000
5.373 8.448 0.000
-5.361 0.000 7.494
La Pm Dy
6 4 10
Direct
0.022 0.272 0.047
0.231 0.769 0.750
0.272 0.022 0.547
0.728 0.978 0.453
0.769 0.231 0.250
0.978 0.728 0.953
0.235 0.473 0.461
0.473 0.235 0.961
0.527 0.765 0.039
0.765 0.527 0.539
0.026 0.974 0.750
0.143 0.370 0.763
0.276 0.724 0.250
0.370 0.143 0.263
0.470 0.530 0.250
0.530 0.470 0.750
0.630 0.857 0.737
0.724 0.276 0.750
0.857 0.630 0.237
0.974 0.026 0.250
```

11.
VASP calculation (PBE-GGA) on a relaxed structure of Cs2Be2Se3.

The calculation puts the raw formation energy at -869 meV per atom. Its total energy is -3.6707 eV/atom.

```
Cs2Be2Se3
1.0
7.632 -1.894 0.000
7.632 1.894 0.000
-7.198 0.000 7.724
Cs Be Se
2 2 3
Direct
0.003 0.003 0.289
0.997 0.997 0.711
0.311 0.311 0.812
0.689 0.689 0.188
0.289 0.289 0.289
0.500 0.500 0.000
0.711 0.711 0.711
```

12.
VASP calculation (PBE-GGA) on a relaxed structure of CaPr2PbC.

For the formation energy, the calculation gives -354 meV per atom. Its total energy is -5.2527 eV/atom.

```
CaPr2PbC
1.0
5.172 0.000 0.000
0.000 5.172 0.000
0.000 0.000 5.051
Ca Pr Pb C
1 2 1 1
Direct
0.000 0.000 0.000
0.000 0.500 0.500
0.500 0.000 0.500
0.500 0.500 0.000
0.000 0.000 0.500
```

13.
VASP calculation (PBE-GGA) on a relaxed structure of Re3BO.

The energy relative to the lowest polymorph listed for this composition is 0.0 meV per atom. The calculation puts the raw formation energy at 1218 meV per atom. Its total energy is -8.5783 eV/atom.

```
Re3BO
1.0
4.088 0.000 0.000
0.000 4.088 0.000
0.000 0.000 4.088
Re B O
3 1 1
Direct
0.000 0.000 0.500
0.000 0.500 0.000
0.500 0.000 0.000
0.000 0.000 0.000
0.500 0.500 0.500
```

14.
VASP calculation (PBE-GGA) on a relaxed structure of Tm3BiPb2.

The energy relative to the lowest polymorph listed for this composition is 0.0 meV per atom. For the formation energy, the calculation gives -436 meV per atom. Its total energy is -4.5548 eV/atom.

```
Tm3BiPb2
1.0
4.332 0.000 0.000
0.000 10.081 0.000
0.000 0.000 8.013
Tm Bi Pb
6 2 4
Direct
0.000 0.062 0.000
0.000 0.938 0.500
0.500 0.209 0.338
0.500 0.421 0.847
0.500 0.579 0.347
0.500 0.791 0.838
0.000 0.366 0.133
0.000 0.634 0.633
0.000 0.300 0.598
0.000 0.700 0.098
0.500 0.083 0.725
0.500 0.917 0.225
```

15.
VASP calculation (PBE-GGA) on a relaxed structure of Pm3IrSe2.

The energy relative to the lowest polymorph listed for this composition is 107.6 meV per atom. The calculation puts the raw formation energy at -1339 meV per atom. Its total energy is -6.3527 eV/atom.

```
Pm3IrSe2
1.0
2.943 -7.053 0.000
2.943 7.053 0.000
0.000 0.000 4.246
Pm Ir Se
3 1 2
Direct
0.000 0.000 0.000
0.365 0.635 0.500
0.635 0.365 0.500
0.500 0.500 0.000
0.153 0.847 0.500
0.847 0.153 0.500
```

16.
VASP calculation (PBE-GGA) on a relaxed structure of SiRh2W.

The calculation puts the raw formation energy at -71 meV per atom. Its total energy is -8.3411 eV/atom.

```
SiRh2W
1.0
4.594 0.000 0.000
0.000 4.594 0.000
0.000 0.000 2.751
Si Rh W
1 2 1
Direct
0.000 0.000 0.000
0.000 0.500 0.500
0.500 0.000 0.500
0.500 0.500 0.000
```

17.
VASP calculation (PBE-GGA) on a relaxed structure of Tl2BiIO6.

The calculation puts the raw formation energy at -620 meV per atom. Its total energy is -4.6115 eV/atom.

```
Tl2BiIO6
1.0
0.000 4.284 4.284
4.284 0.000 4.284
4.284 4.284 0.000
Tl Bi I O
2 1 1 6
Direct
0.250 0.250 0.250
0.750 0.750 0.750
0.000 0.000 0.000
0.500 0.500 0.500
0.275 0.275 0.725
0.275 0.725 0.275
0.275 0.725 0.725
0.725 0.275 0.275
0.725 0.275 0.725
0.725 0.725 0.275
```

18.
VASP calculation (PBE-GGA) on a relaxed structure of ThGa2Pt4.

The energy relative to the lowest polymorph listed for this composition is 0.0 meV per atom. For the formation energy, the calculation gives -861 meV per atom. Its total energy is -6.2375 eV/atom.

```
ThGa2Pt4
1.0
4.335 -3.404 0.000
4.335 3.404 0.000
-3.393 0.000 4.239
Th Ga Pt
1 2 4
Direct
0.000 0.000 0.000
0.500 0.500 0.250
0.500 0.500 0.750
0.001 0.410 0.705
0.410 0.001 0.705
0.590 0.999 0.295
0.999 0.590 0.295
```

19.
VASP calculation (PBE-GGA) on a relaxed structure of P2C.

The energy relative to the lowest polymorph listed for this composition is 827.6 meV per atom. For the formation energy, the calculation gives 1258 meV per atom. Its total energy is -5.4232 eV/atom.

```
P2C
1.0
2.785 0.000 0.000
-1.392 2.412 0.000
0.000 0.000 5.691
P C
2 1
Direct
0.000 0.000 0.224
0.000 0.000 0.776
0.333 0.667 0.000
```

20.
VASP calculation (PBE-GGA) on a relaxed structure of BaSr3Ir.

The energy relative to the lowest polymorph listed for this composition is 77.8 meV per atom. For the formation energy, the calculation gives -86 meV per atom. Its total energy is -3.2520 eV/atom.

```
BaSr3Ir
1.0
6.024 0.000 0.000
0.000 6.024 0.000
0.000 0.000 6.024
Ba Sr Ir
1 3 1
Direct
0.000 0.000 0.000
0.000 0.500 0.500
0.500 0.000 0.500
0.500 0.500 0.000
0.500 0.500 0.500
```